The following is a DFT calculation (PBE) of CrTe2Ru after structural relaxation.

The calculation puts the uncorrected formation energy at 0.823 eV/atom. Its theoretical density is 8.37 g cm⁻³. The calculation puts the polymorph energy (0 for the lowest one) at 875 meV/atom. The size of the total moment is 15.44 μB/cell.

It has space group F-43m (No. 216), with a = 6.867 Å, b = 6.867 Å, c = 6.867 Å, α = 90.00°, β = 90.00° and γ = 90.00°. The inequivalent atoms are Cr at (0.000, 0.000, 0.000), Te at (0.000, 0.000, 0.500), Te at (0.250, 0.250, 0.250) and Ru at (0.250, 0.250, 0.750).